CoBr2: relaxed, GGA-PBE.

Summary:
- DOS(E_F): 5.8 states/eV/cell
- Electronic total energy: -0.119 Ha/atom
- Calculated volume: 21.619 A^3/atom
- Energy relative to the elements, uncorrected: 254 meV/atom

Cell lengths 6.449, 6.449, 6.238 Å; angles 90.00, 90.00, 90.00 degrees
Space group I4/mcm (No. 140)
Inequivalent atoms, fractional coordinates:
Co 0.000 0.000 0.250 x4
Br 0.184 0.316 0.000 x8